## 1
The following is a PBE calculation of crystalline UGaP2 at its relaxed geometry, from Alexandria via LeMat-Bulk.

Computed properties:
Its space-group type is R-3m (166). The density of states at the Fermi level is 6.339 states/eV/cell. The total magnetic moment comes out at 1.60 Bohr magnetons per cell.

a = 7.9084 Å, b = 7.9084 Å, c = 7.9084 Å
α = 29.35°, β = 29.35°, γ = 29.35°
Fractional positions:
U: 0.0000 0.0000 0.0000
Ga: 0.5000 0.5000 0.5000
P: 0.3970 0.3970 0.3970
P: 0.6030 0.6030 0.6030

## 2
The following is a PBE calculation of crystalline UGaP2 at its relaxed geometry, from Alexandria via LeMat-Bulk.

Computed properties:
Its space-group type is P4/mmm (123). The density of states at the Fermi level is 3.453 states/eV/cell. The total magnetic moment comes out at 0.98 Bohr magnetons per cell.

a = 4.3042 Å, b = 4.3042 Å, c = 3.6242 Å
α = 90.00°, β = 90.00°, γ = 90.00°
Fractional positions:
U: 0.0000 0.0000 0.0000
Ga: 0.5000 0.5000 0.0000
P: 0.0000 0.5000 0.5000
P: 0.5000 0.0000 0.5000

The structures above, arranged from the most stable to the least stable: 2, 1.